No. 1
PdPtCl3 after structural relaxation. Source: Alexandria, functional GGA-PBEsol.

Electronic total energy   -16.145 eV for the cell shown
Formation energy from raw total energies   560 meV/atom
Magnetization   1.08 μB/cell

abc: 4.693 4.693 4.693
angles: 90.00 90.00 90.00
Site moments in Bohr magnetons follow the coordinates.
Element x y z (fractional)
Pd1 0.000 0.000 0.000  0.02
Cl1 0.500 0.000 0.000  0.05
Cl2 0.000 0.500 0.000  0.05
Cl3 0.000 0.000 0.500  0.05
Pt1 0.500 0.500 0.500  0.85

---

No. 2
RbPdCl3 after structural relaxation. Source: Alexandria, functional GGA-PBEsol.

Electronic total energy   -18.548 eV for the cell shown
Formation energy from raw total energies   -1108 meV/atom
Magnetization   0.00 μB/cell

abc: 4.882 4.882 4.882
angles: 90.00 90.00 90.00
Element x y z (fractional)
Cl1 0.000 0.000 0.500
Cl2 0.000 0.500 0.000
Cl3 0.500 0.000 0.000
Rb1 0.500 0.500 0.500
Pd1 0.000 0.000 0.000

---

No. 3
Rb2TePdCl after structural relaxation. Source: Alexandria, functional GGA-PBEsol.

Electronic total energy   -16.156 eV for the cell shown
Formation energy from raw total energies   -523 meV/atom
Magnetization   0.00 μB/cell

abc: 4.382 6.449 6.449
angles: 90.00 90.00 90.00
Element x y z (fractional)
Cl1 0.500 0.000 0.000
Te1 0.500 0.500 0.500
Rb1 0.000 0.000 0.500
Rb2 0.000 0.500 0.000
Pd1 0.000 0.000 0.000

---

No. 4
PdRhCl3 after structural relaxation. Source: Alexandria, functional GGA-PBEsol.

Electronic total energy   -17.767 eV for the cell shown
Formation energy from raw total energies   471 meV/atom
Magnetization   2.07 μB/cell

abc: 4.722 4.722 4.722
angles: 90.00 90.00 90.00
Site moments in Bohr magnetons follow the coordinates.
Element x y z (fractional)
Cl1 0.000 0.000 0.500  0.05
Cl2 0.500 0.000 0.000  0.05
Cl3 0.000 0.500 0.000  0.05
Pd1 0.000 0.000 0.000  0.01
Rh1 0.500 0.500 0.500  1.78

---

No. 5
TlPdRhCl2 after structural relaxation. Source: Alexandria, functional GGA-PBEsol.

Electronic total energy   -15.380 eV for the cell shown
Formation energy from raw total energies   1073 meV/atom
Magnetization   1.09 μB/cell

abc: 5.139 5.117 5.117
angles: 90.00 90.00 90.00
Site moments in Bohr magnetons follow the coordinates.
Element x y z (fractional)
Tl1 0.000 0.000 0.000  -0.02
Rh1 0.500 0.000 0.000  0.81
Cl1 0.000 0.000 0.500  0.00
Cl2 0.000 0.500 0.000  0.00
Pd1 0.500 0.500 0.500  0.27

---

No. 6
PdRuCl2 after structural relaxation. Source: Alexandria, functional GGA-PBEsol.

Electronic total energy   -19.319 eV for the cell shown
Formation energy from raw total energies   207 meV/atom
Magnetization   0.00 μB/cell

abc: 3.417 3.417 7.419
angles: 76.68 76.68 60.00
Element x y z (fractional)
Cl1 0.106 0.106 0.681
Cl2 0.894 0.894 0.319
Ru1 0.500 0.500 0.500
Pd1 0.000 0.000 0.000

---

No. 7
ScPdS2Cl after structural relaxation. Source: Alexandria, functional GGA-PBEsol.

Electronic total energy   -25.457 eV for the cell shown
Formation energy from raw total energies   -423 meV/atom
Magnetization   0.03 μB/cell

abc: 4.529 4.680 4.680
angles: 90.00 90.00 90.00
Element x y z (fractional)
Cl1 0.500 0.000 0.000
Sc1 0.500 0.500 0.500
S1 0.000 0.000 0.500
S2 0.000 0.500 0.000
Pd1 0.000 0.000 0.000

---

No. 8
SnPdSCl2 after structural relaxation. Source: Alexandria, functional GGA-PBEsol.

Electronic total energy   -17.470 eV for the cell shown
Formation energy from raw total energies   230 meV/atom
Magnetization   0.83 μB/cell

abc: 4.980 5.047 5.047
angles: 90.00 90.00 90.00
Site moments in Bohr magnetons follow the coordinates.
Element x y z (fractional)
Pd1 0.500 0.500 0.500  0.62
S1 0.500 0.000 0.000  0.11
Cl1 0.000 0.500 0.000  0.01
Cl2 0.000 0.000 0.500  0.01
Sn1 0.000 0.000 0.000  0.00

---

No. 9
SrPdS2Cl after structural relaxation. Source: Alexandria, functional GGA-PBEsol.

Electronic total energy   -16.838 eV for the cell shown
Formation energy from raw total energies   348 meV/atom
Magnetization   3.04 μB/cell

abc: 5.342 5.552 5.552
angles: 90.00 90.00 90.00
Site moments in Bohr magnetons follow the coordinates.
Element x y z (fractional)
Pd1 0.500 0.500 0.500  0.71
S1 0.000 0.500 0.000  0.66
S2 0.000 0.000 0.500  0.66
Cl1 0.500 0.000 0.000  0.11
Sr1 0.000 0.000 0.000  0.01

---

No. 10
Pd2WSCl after structural relaxation. Source: Alexandria, functional GGA-PBEsol.

Electronic total energy   -26.127 eV for the cell shown
Formation energy from raw total energies   1198 meV/atom
Magnetization   1.18 μB/cell

abc: 4.435 4.446 4.446
angles: 90.00 90.00 90.00
Site moments in Bohr magnetons follow the coordinates.
Element x y z (fractional)
W1 0.500 0.000 0.000  0.84
S1 0.500 0.500 0.500  0.02
Cl1 0.000 0.000 0.000  -0.01
Pd1 0.000 0.000 0.500  0.06
Pd2 0.000 0.500 0.000  0.06

---

No. 11
Sb2TePdCl after structural relaxation. Source: Alexandria, functional GGA-PBEsol.

Electronic total energy   -15.616 eV for the cell shown
Formation energy from raw total energies   998 meV/atom
Offset from the most stable computed form   702 meV per atom
Magnetization   0.00 μB/cell

abc: 5.190 5.190 5.116
angles: 90.00 90.00 90.00
Element x y z (fractional)
Sb1 0.500 0.000 0.000
Sb2 0.000 0.500 0.000
Te1 0.000 0.000 0.500
Cl1 0.000 0.000 0.000
Pd1 0.500 0.500 0.500

---

No. 12
Sb2TePdCl after structural relaxation. Source: Alexandria, functional GGA-PBEsol.

Electronic total energy   -19.126 eV for the cell shown
Formation energy from raw total energies   296 meV/atom
Offset from the most stable computed form   0 meV per atom
Magnetization   0.00 μB/cell

abc: 5.170 5.197 5.197
angles: 90.00 90.00 90.00
Element x y z (fractional)
Sb1 0.000 0.000 0.500
Sb2 0.000 0.500 0.000
Cl1 0.500 0.500 0.500
Te1 0.500 0.000 0.000
Pd1 0.000 0.000 0.000